Computed, not measured: an optimized crystal structure of SnRhSe3 at the PBE-GGA level of DFT.

Cell and atoms, written as extended XYZ:
```
10
Lattice="6.7155 0.0000 0.0000 0.0000 3.8378 0.0000 -0.1126 0.0000 9.2911" Properties=species:S:1:pos:R:3 pbc="T T T"
Sn 0.5235 0.9594 1.8159
Sn 6.0794 2.8783 7.4753
Rh 2.7392 0.9594 7.6919
Rh 3.8637 2.8783 1.5992
Se 0.7169 0.9594 6.1685
Se 1.8831 2.8783 9.1516
Se 2.9428 0.9594 2.9621
Se 3.6601 2.8783 6.3290
Se 4.7198 0.9594 0.1395
Se 5.8860 2.8783 3.1227
```

## Properties
The space group is No. 11. The calculation puts the relative energy among the computed polymorphs at 0.0000 eV/atom. The calculation puts the uncorrected formation energy at -0.39 eV per atom.